A relaxed structure of PrCr2O8, computed with PBE+U.

a b c (Å): 6.856 6.856 6.856
angles (deg): 139.86 139.86 58.07
Sites, in units of the cell vectors:
Pr 0.000 0.000 0.000
Cr 0.250 0.750 0.500
Cr 0.750 0.250 0.500
O 0.101 0.101 0.502
O 0.101 0.599 0.000
O 0.401 0.401 0.502
O 0.401 0.899 0.000
O 0.599 0.101 0.000
O 0.599 0.599 0.498
O 0.899 0.401 0.000
O 0.899 0.899 0.498

Summary:
The calculation puts the magnetization at 0.489 μB per formula unit. The calculation puts the electronic total energy at -6.4687 eV/atom.